No. 1
KHgTe2 | PBE-GGA | relaxed

Computed properties:
The space group is Pmm2.

Lattice parameters (Å, degrees): 3.2290 5.9598 7.0003 90.00 90.00 90.00
Sites, in units of the cell vectors:
Te 0.0000 0.0000 0.8508
Te 0.5000 0.5000 0.3605
K 0.5000 0.5000 0.8637
Hg 0.0000 0.0000 0.4251



No. 2
KHgTe2 | PBE-GGA | relaxed

Computed properties:
The space group is Immm.

Lattice parameters (Å, degrees): 6.8885 6.8885 4.6361 70.30 70.30 39.21
Sites, in units of the cell vectors:
Te 0.9998 0.9998 0.0003
Te 0.5002 0.5002 0.4997
K 0.2500 0.2500 0.2500
Hg 0.7500 0.7500 0.7500



No. 3
KHg2Te | PBE-GGA | relaxed

Computed properties:
The space group is Pmmm.

Lattice parameters (Å, degrees): 3.9651 5.6980 5.7007 90.00 90.00 90.00
Sites, in units of the cell vectors:
Hg 0.5000 0.5000 0.0000
Hg 0.0000 0.0000 0.0000
Te 0.0000 0.5000 0.5000
K 0.5000 0.0000 0.5000



Results for E_form (uncorrected): -0.27; -0.35; -0.28 (in eV per atom, following the order of the records).
Results for DFT total energy: -2.194; -2.272; -1.489 (in eV/atom, following the order of the records).